Record 1
Here is a geometry-optimized HoScSb2 structure from Alexandria. Energies are from PBE-GGA.

Its total moment is 0.000 μB per atom. As for the raw total energy: -5.81 eV per atom. The value obtained for the energy above the most stable polymorph in this dataset is 0.000 eV/atom. The value obtained for the formation energy from raw total energies is -1.020 eV per atom. The value obtained for the calculated density is 6851 kg/m3. Its crystal system is trigonal.

The space group is R-3m (No. 166, hexagonal axes) and the conventional cell measures 4.2687, 4.2687 and 20.8891 Å, with angles of 90.00, 90.00 and 120.00 degrees. Symmetry generates all atoms from Ho at (0.0000, 0.0000, 0.0000), Sc at (0.0000, 0.0000, 0.5000) and Sb at (0.0000, 0.0000, 0.2455).

=====

Record 2
Here is a geometry-optimized CaScS2N structure from Alexandria. Energies are from PBE-GGA.

Its total moment is 0.398 μB per atom. As for the raw total energy: -5.90 eV per atom. The value obtained for the energy above the most stable polymorph in this dataset is 0.000 eV/atom. The value obtained for the formation energy from raw total energies is -0.915 eV per atom. The value obtained for the calculated density is 2589 kg/m3. Its crystal system is tetragonal.

The space group is P4/mmm (No. 123) and the conventional cell measures 5.0140, 5.0140 and 4.1627 Å, with angles of 90.00, 90.00 and 90.00 degrees. Symmetry generates all atoms from Ca at (0.0000, 0.0000, 0.0000), Sc at (0.5000, 0.5000, 0.5000), S at (0.0000, 0.5000, 0.5000) and N at (0.5000, 0.5000, 0.0000).

=====

Record 3
Here is a geometry-optimized Mg8Zn2Ag structure from Alexandria. Energies are from PBE-GGA.

Its total moment is 0.000 μB per atom. As for the raw total energy: -1.71 eV per atom. The value obtained for the calculated density is 3219 kg/m3. As for the formation energy: -63 meV per atom. Its crystal system is orthorhombic.

The space group is Immm (No. 71) and the conventional cell measures 4.5621, 7.3822 and 13.2679 Å, with angles of 90.00, 90.00 and 90.00 degrees. Symmetry generates all atoms from Mg at (0.0000, 0.0000, 0.1527), Mg at (0.0000, 0.2194, 0.3436), Mg at (0.0000, 0.2993, 0.0000), Zn at (0.0000, 0.5000, 0.1899) and Ag at (0.0000, 0.5000, 0.5000).

=====

Record 4
Here is a geometry-optimized Ti2CoH2 structure from Alexandria. Energies are from PBE-GGA.

Its total moment is 0.000 μB per atom. As for the raw total energy: -6.31 eV per atom. The value obtained for the energy above the most stable polymorph in this dataset is 0.025 eV/atom. The value obtained for the calculated density is 5491 kg/m3. Its crystal system is triclinic.

The space group is P-1 (No. 2) and the conventional cell measures 4.9325, 4.9428 and 5.0579 Å, with angles of 61.25, 61.30 and 78.25 degrees. Symmetry generates all atoms from Ti at (0.0070, 0.3390, 0.3265), Ti at (0.3391, 0.0059, 0.8268), Co at (0.4850, 0.5159, 0.2497), H at (0.0152, 0.2493, 0.9885) and H at (0.2490, 0.0137, 0.4893).

=====

> Look up the calculated density of the fourth one.

5491 kg/m3

=====

> Number 1 is which compound?

HoScSb2